Here is a relaxed VCdPO2 crystal from the Alexandria database. Energies are from GGA+U.

Results
- calculated total energy (eV per atom) = -5.58
- spin magnetization (Bohr magnetons per cell) = 0.1

a b c (Å): 3.7380 3.7380 5.1348
angles (deg): 90.00 90.00 90.00
Atoms (fractional coordinates):
1 V 0.0000 0.0000 0.0000
2 Cd 0.5000 0.5000 0.5000
3 P 0.0000 0.0000 0.5000
4 O 0.0000 0.5000 0.0000
5 O 0.5000 0.0000 0.0000